A plane-wave DFT calculation with PBE+U was carried out for crystalline TaCoNO at its relaxed geometry.

Properties
Calculated total energy, eV/atom: -8.400

Lattice parameters (Å, degrees): 3.2220 5.5518 5.2089 90.00 90.00 90.00
Fractional coordinates of all 8 atoms:
Ta 0.0000 0.1545 0.0000
Ta 0.0000 0.8455 0.5000
Co 0.5000 0.2631 0.5814
Co 0.5000 0.7369 0.0814
N 0.0000 0.1864 0.3849
N 0.0000 0.8136 0.8849
O 0.5000 0.3730 0.9590
O 0.5000 0.6270 0.4590